Ba2BiTe | PBE-GGA | relaxed

Cell and atoms, written as POSCAR:
```
Ba2BiTe
1.0
4.860 0.000 0.000
2.430 4.209 0.000
2.430 1.403 8.921
Ba Bi Te
2 1 1
Cartesian
7.290 4.209 6.820
2.430 1.403 2.101
4.860 2.806 4.461
0.000 0.000 0.000
```

Output
The energy above the most stable polymorph in this dataset comes out at 0.058 eV per atom.

BaBi2Te | PBE-GGA | relaxed

Cell and atoms, written as POSCAR:
```
BaBi2Te
1.0
9.632 0.000 0.000
0.000 9.632 0.000
4.816 4.816 3.378
Bi Ba Te
4 2 2
Cartesian
2.771 7.224 0.845
12.040 11.677 2.534
7.224 7.587 2.534
6.861 2.408 0.845
0.000 0.000 0.000
9.632 4.816 1.689
4.816 9.632 1.689
4.816 4.816 0.000
```

Output
The total energy comes out at -28.61 eV/cell.

Ba5BiTe6 | PBE-GGA | relaxed

Cell and atoms, written as POSCAR:
```
Ba5BiTe6
1.0
-5.426 6.492 1.255
-6.684 -1.013 -5.276
-6.877 -4.474 2.602
Ba Te Bi
5 6 1
Cartesian
-10.568 0.919 -2.913
-9.019 -3.633 -1.816
-6.055 2.740 -2.011
-4.542 -1.854 -0.859
-8.419 0.086 1.494
-12.088 -2.304 -2.750
-9.267 4.208 -3.066
-11.462 1.433 0.502
-6.899 3.310 1.331
-7.526 -0.427 -1.922
-2.843 1.272 -0.955
0.000 0.000 0.000
```

Output
The total energy comes out at -49.19 eV/cell.

Ba2Bi2Te | PBE-GGA | relaxed

Cell and atoms, written as POSCAR:
```
Ba2Bi2Te
1.0
8.985 0.000 0.000
0.000 8.985 0.000
0.000 0.000 5.018
Bi Ba Te
4 4 2
Cartesian
5.551 1.059 0.000
3.434 7.926 0.000
1.059 3.434 0.000
7.926 5.551 0.000
7.349 2.856 2.509
2.856 1.636 2.509
1.636 6.129 2.509
6.129 7.349 2.509
0.000 0.000 0.000
4.492 4.492 0.000
```

Output
The energy above the most stable polymorph in this dataset comes out at 0.000 eV per atom.

Ba2Bi2Te | PBE-GGA | relaxed

Cell and atoms, written as POSCAR:
```
Ba2Bi2Te
1.0
-4.751 -1.833 4.591
4.943 -1.670 4.448
0.047 2.664 6.231
Ba Bi Te
2 2 1
Cartesian
-2.304 -0.460 7.671
2.543 -0.379 7.600
0.080 -0.315 5.077
0.159 -0.524 10.194
0.000 0.000 0.000
```

Output
The energy above the most stable polymorph in this dataset comes out at 0.170 eV per atom.

Ba2BiTe | PBE-GGA | relaxed

Cell and atoms, written as POSCAR:
```
Ba2BiTe
1.0
4.989 0.000 0.000
0.000 5.016 -0.891
0.000 -0.097 14.020
Ba Bi Te
4 2 2
Cartesian
1.247 0.302 1.698
3.742 4.617 11.431
1.247 1.519 8.554
3.742 3.400 4.575
3.742 2.726 0.784
1.247 2.193 12.345
3.742 4.012 8.019
1.247 0.908 5.110
```

Output
The energy above the most stable polymorph in this dataset comes out at 0.000 eV per atom.

no.,size of the total moment (μB per cell),Fermi-level density of states (states/eV/atom)
1,0.00,0.679
2,0.00,0.781
3,1.06,0.493
4,0.00,0.013
5,0.00,0.964
6,0.00,0.757